Material: Na2Cd3Bi5
Method: DFT, PBE
State: optimized geometry

Structure (CIF):
```
data_Na2Cd3Bi5
_chemical_formula_sum 'Na8 Cd12 Bi20'
_cell_length_a 12.695
_cell_length_b 16.231
_cell_length_c 6.672
_cell_angle_alpha 90.00
_cell_angle_beta 90.00
_cell_angle_gamma 90.00
_space_group_name_H-M_alt 'I b a m'
_space_group_IT_number 72
_space_group_name_Hall '-I 2 2c'
loop_
_atom_site_label
_atom_site_type_symbol
_atom_site_fract_x
_atom_site_fract_y
_atom_site_fract_z
Na1 Na 0.235 0.094 0.000
Cd1 Cd 0.000 0.000 0.250
Cd2 Cd 0.155 0.388 0.000
Bi1 Bi 0.000 0.284 0.250
Bi2 Bi 0.000 0.500 0.250
Bi3 Bi 0.119 0.126 0.500
```

- Magnetization: 0.0 μB per cell
- Energy relative to the elements: -0.04 eV/atom

Material: NaCd3Bi
Method: DFT, PBE
State: optimized geometry

Structure (CIF):
```
data_NaCd3Bi
_chemical_formula_sum 'Na1 Cd3 Bi1'
_cell_length_a 5.356
_cell_length_b 5.356
_cell_length_c 5.356
_cell_angle_alpha 90.00
_cell_angle_beta 90.00
_cell_angle_gamma 90.00
_space_group_name_H-M_alt 'P m -3 m'
_space_group_IT_number 221
_space_group_name_Hall '-P 4 2 3'
loop_
_atom_site_label
_atom_site_type_symbol
_atom_site_fract_x
_atom_site_fract_y
_atom_site_fract_z
Na1 Na 0.000 0.000 0.000
Cd1 Cd 0.000 0.000 0.500
Bi1 Bi 0.500 0.500 0.500
```

- Magnetization: 0.0 μB per cell
- E above lowest polymorph: 0.591 eV/atom
- Energy relative to the elements: 0.51 eV/atom

Material: NaCdBi2
Method: DFT, PBE
State: optimized geometry

Structure (CIF):
```
data_NaCdBi2
_chemical_formula_sum 'Na4 Cd4 Bi8'
_cell_length_a 9.016
_cell_length_b 9.016
_cell_length_c 6.321
_cell_angle_alpha 90.00
_cell_angle_beta 90.00
_cell_angle_gamma 90.00
_space_group_name_H-M_alt 'I -4 2 d'
_space_group_IT_number 122
_space_group_name_Hall 'I -4 2bw'
loop_
_atom_site_label
_atom_site_type_symbol
_atom_site_fract_x
_atom_site_fract_y
_atom_site_fract_z
Na1 Na 0.000 0.000 0.000
Cd1 Cd 0.000 0.000 0.500
Bi1 Bi 0.195 0.250 0.625
```

- Magnetization: 0.0 μB per cell
- Energy relative to the elements: -0.05 eV/atom

Material: Na2Cd15Bi2
Method: DFT, PBE
State: optimized geometry

Structure (CIF):
```
data_Na2Cd15Bi2
_chemical_formula_sum 'Na6 Cd45 Bi6'
_cell_length_a 10.6024
_cell_length_b 10.6024
_cell_length_c 14.8097
_cell_angle_alpha 90.00
_cell_angle_beta 90.00
_cell_angle_gamma 120.00
_space_group_name_H-M_alt 'R -3 m'
_space_group_IT_number 166
_space_group_name_Hall '-R 3 2"'
loop_
_atom_site_label
_atom_site_type_symbol
_atom_site_fract_x
_atom_site_fract_y
_atom_site_fract_z
Na1 Na 0.0000 0.0000 0.1487
Cd1 Cd 0.0000 0.3238 0.5000
Cd2 Cd 0.0000 0.5000 0.0000
Cd3 Cd 0.0152 0.5076 0.6599
Bi1 Bi 0.0000 0.0000 0.3932
```

- Magnetization: 0.0 μB per cell
- Energy relative to the elements: -0.02 eV/atom

What is the formula in the second record? NaCd3Bi

Repeat the first record exactly.
Material: Na2Cd3Bi5
Method: DFT, PBE
State: optimized geometry

Structure (CIF):
```
data_Na2Cd3Bi5
_chemical_formula_sum 'Na8 Cd12 Bi20'
_cell_length_a 12.695
_cell_length_b 16.231
_cell_length_c 6.672
_cell_angle_alpha 90.00
_cell_angle_beta 90.00
_cell_angle_gamma 90.00
_space_group_name_H-M_alt 'I b a m'
_space_group_IT_number 72
_space_group_name_Hall '-I 2 2c'
loop_
_atom_site_label
_atom_site_type_symbol
_atom_site_fract_x
_atom_site_fract_y
_atom_site_fract_z
Na1 Na 0.235 0.094 0.000
Cd1 Cd 0.000 0.000 0.250
Cd2 Cd 0.155 0.388 0.000
Bi1 Bi 0.000 0.284 0.250
Bi2 Bi 0.000 0.500 0.250
Bi3 Bi 0.119 0.126 0.500
```

- Magnetization: 0.0 μB per cell
- Energy relative to the elements: -0.04 eV/atom